{
  "formula": "Li3FeNi3O8",
  "functional": "GGA+U",
  "state": "relaxed",
  "lattice_angstrom": [[-0.927, 5.306, 2.252], [-5.187, 2.629, -0.513], [-3.398, 0.537, 4.715]],
  "species": ["Li", "Li", "Li", "O", "O", "O", "O", "O", "O", "O", "O", "Ni", "Ni", "Ni", "Fe"],
  "frac_coords": [[0.000, 0.000, 0.500], [0.500, 0.000, 0.500], [0.000, 0.500, 0.500], [0.234, 0.763, 0.225], [0.766, 0.237, 0.775], [0.777, 0.777, 0.204], [0.237, 0.766, 0.775], [0.743, 0.743, 0.784], [0.763, 0.234, 0.225], [0.223, 0.223, 0.796], [0.257, 0.257, 0.216], [0.000, 0.000, 0.000], [0.000, 0.500, 0.000], [0.500, 0.000, 0.000], [0.500, 0.500, 0.000]],
  "polymorph_energy_mev_per_atom": 0,
  "total_energy_ev_per_atom": -5.15,
  "magmom_total_mub_per_atom": 0.467,
  "crystal_system": "monoclinic"
}